# K2CoPbF6, optimized geometry, DFT PBE+U
data_K2CoPbF6
_cell_length_a 6.1639
_cell_length_b 6.1639
_cell_length_c 4.8203
_cell_angle_alpha 90.00
_cell_angle_beta 90.00
_cell_angle_gamma 90.00
_symmetry_space_group_name_H-M 'P 1'
_symmetry_Int_Tables_number 1
loop_
_symmetry_equiv_pos_as_xyz
'x,y,z'
loop_
_atom_site_label
_atom_site_type_symbol
_atom_site_fract_x
_atom_site_fract_y
_atom_site_fract_z
_atom_site_occupancy
K1 K 0.0000 0.5000 0.0000 1
K2 K 0.5000 0.0000 0.0000 1
Co1 Co 0.0000 0.0000 0.5733 1
Pb1 Pb 0.5000 0.5000 0.5330 1
F1 F 0.0000 0.0000 0.1386 1
F2 F 0.2285 0.2285 0.6236 1
F3 F 0.2285 0.7715 0.6236 1
F4 F 0.5000 0.5000 0.0201 1
F5 F 0.7715 0.2285 0.6236 1
F6 F 0.7715 0.7715 0.6236 1
# total energy	-4.64	eV/atom
# magnetization	3.001	μB per formula unit
# space-group type	P4mm, No. 99
# volume	183	Å³/cell